Compound: TbNd2PaSb4
Source: Alexandria via LeMat-Bulk
Functional: PBE
Structure: relaxed

Cell lengths 4.4483, 7.6956, 7.7272 Å; angles 109.34, 90.00, 90.00 degrees
With the nearest neighbours (Å) after each atom.
Element x y z (fractional)
Sb 0.5000 0.7542 0.7596  2 Pa 3.11, 1 Tb 3.11, 3 Nd 3.18-3.19
Sb 0.0000 0.7491 0.2401  1 Pa 3.09, 2 Tb 3.12, 3 Nd 3.18-3.20
Sb 0.0000 0.2509 0.7599  1 Pa 3.09, 2 Tb 3.12, 3 Nd 3.18-3.20
Sb 0.5000 0.2458 0.2404  2 Pa 3.11, 1 Tb 3.11, 3 Nd 3.18-3.19
Nd 0.5000 0.0000 0.5000  6 Sb 3.18
Nd 0.0000 0.5000 0.5000  6 Sb 3.19-3.20
Pa 0.0000 0.0000 0.0000  6 Sb 3.09-3.11
Tb 0.5000 0.5000 0.0000  6 Sb 3.11-3.12

- Total magnetization: 0.79 μB per cell
- Total energy: -6.014 eV/atom


Compound: BeTl2S
Source: Alexandria via LeMat-Bulk
Functional: PBE
Structure: relaxed

Cell lengths 5.1614, 5.1614, 5.1614 Å; angles 60.00, 60.00, 60.00 degrees
With the nearest neighbours (Å) after each atom.
Element x y z (fractional)
Tl 0.2500 0.2500 0.2500  4 S 3.16, 4 Be 3.16
Tl 0.7500 0.7500 0.7500  4 S 3.16, 4 Be 3.16
Be 0.0000 0.0000 0.0000  8 Tl 3.16
S 0.5000 0.5000 0.5000  8 Tl 3.16

- Total magnetization: 0.00 μB per cell
- Total energy: -2.644 eV/atom


Compound: MnAg2Br
Source: Alexandria via LeMat-Bulk
Functional: PBE
Structure: relaxed

Cell lengths 6.9114, 6.9114, 6.9114 Å; angles 153.10, 142.75, 46.54 degrees
With the nearest neighbours (Å) after each atom.
Element x y z (fractional)
Br 0.5674 0.5674 0.0000  2 Mn 2.61
Ag 0.2866 0.7866 0.5000  2 Ag 2.76, 4 Mn 2.83
Ag 0.9167 0.9167 0.0000  2 Ag 2.76, 2 Mn 2.87
Mn 0.7292 0.2292 0.5000  2 Br 2.61, 6 Ag 2.83-2.87

- Total magnetization: 4.26 μB per cell
- Total energy: -3.983 eV/atom


Compound: Rb2ScTe2
Source: Alexandria via LeMat-Bulk
Functional: PBE
Structure: relaxed

Cell lengths 7.0817, 8.1440, 9.2008 Å; angles 116.27, 112.63, 90.00 degrees
With the nearest neighbours (Å) after each atom.
Element x y z (fractional)
Sc 0.7500 0.5000 0.0000  4 Te 2.88
Sc 0.2500 0.5000 0.0000  4 Te 2.88
Rb 0.1474 0.3074 0.2947  5 Te 3.70-3.93, 2 Sc 3.95
Rb 0.3526 0.0126 0.7053  5 Te 3.70-3.93, 2 Sc 3.95
Rb 0.8526 0.6926 0.7053  5 Te 3.70-3.93, 2 Sc 3.95
Rb 0.6474 0.9874 0.2947  5 Te 3.70-3.93, 2 Sc 3.95
Te 0.1053 0.8070 0.2106  2 Sc 2.88
Te 0.8947 0.1930 0.7894  2 Sc 2.88
Te 0.6053 0.4036 0.2106  2 Sc 2.88
Te 0.3947 0.5964 0.7894  2 Sc 2.88

- Total magnetization: 2.01 μB per cell
- Total energy: -3.941 eV/atom


Compound: GaSe2S4
Source: Alexandria via LeMat-Bulk
Functional: PBE
Structure: relaxed

Cell lengths 9.2121, 10.4336, 10.4335 Å; angles 105.78, 43.92, 136.08 degrees
With the nearest neighbours (Å) after each atom.
Element x y z (fractional)
Ga 0.5000 0.2626 0.2374  4 S 2.29-2.34
Ga 0.0000 0.0126 0.9874  4 S 2.29-2.34
S 0.1056 0.8999 0.4087  1 Se 2.21, 1 Ga 2.29
S 0.2418 0.3415 0.4002  1 Se 2.20, 1 Ga 2.34
S 0.3946 0.0445 0.7642  1 Se 2.21, 1 Ga 2.29
S 0.2581 0.3497 0.8918  1 Se 2.20, 1 Ga 2.34
S 0.8946 0.4858 0.2055  1 Se 2.21, 1 Ga 2.29
S 0.7581 0.3582 0.9003  1 Se 2.20, 1 Ga 2.34
S 0.7418 0.8498 0.9085  1 Se 2.20, 1 Ga 2.34
S 0.6055 0.8413 0.3501  1 Se 2.21, 1 Ga 2.29
Se 0.0445 0.8337 0.6374  2 S 2.20-2.21
Se 0.4555 0.0394 0.9318  2 S 2.20-2.21
Se 0.5445 0.6126 0.4163  2 S 2.20-2.21
Se 0.9555 0.3182 0.2106  2 S 2.20-2.21

- Total magnetization: 0.00 μB per cell
- Total energy: -3.881 eV/atom


Compound: LiTbPu2S4
Source: Alexandria via LeMat-Bulk
Functional: PBE
Structure: relaxed

Cell lengths 3.9495, 6.8081, 6.7818 Å; angles 109.74, 90.00, 90.00 degrees
With the nearest neighbours (Å) after each atom.
Element x y z (fractional)
Li 0.5000 0.5000 0.0000  6 S 2.75-2.76
S 0.0000 0.7471 0.2447  2 Li 2.76, 1 Tb 2.77, 3 Pu 2.79-2.80
S 0.5000 0.7485 0.7544  1 Li 2.75, 2 Tb 2.77, 3 Pu 2.79-2.81
S 0.5000 0.2515 0.2456  1 Li 2.75, 2 Tb 2.77, 3 Pu 2.79-2.81
S 0.0000 0.2529 0.7553  2 Li 2.76, 1 Tb 2.77, 3 Pu 2.79-2.80
Tb 0.0000 0.0000 0.0000  6 S 2.77
Pu 0.5000 0.0000 0.5000  6 S 2.80-2.81
Pu 0.0000 0.5000 0.5000  6 S 2.79

- Total magnetization: 11.40 μB per cell
- Total energy: -8.224 eV/atom


Compound: BaVSi2Ru
Source: Alexandria via LeMat-Bulk
Functional: PBE
Structure: relaxed

Cell lengths 4.7602, 4.6651, 4.7602 Å; angles 90.00, 90.00, 90.00 degrees
With the nearest neighbours (Å) after each atom.
Element x y z (fractional)
Ba 0.5000 0.5000 0.5000  8 Si 3.33, 4 Ru 3.37
V 0.0000 0.0000 0.0000  2 Ru 2.33, 4 Si 2.38
Ru 0.0000 0.5000 0.0000  2 V 2.33
Si 0.0000 0.0000 0.5000  2 V 2.38
Si 0.5000 0.0000 0.0000  2 V 2.38

- Total magnetization: 0.00 μB per cell
- Total energy: -5.973 eV/atom


Compound: ZnTeWN2
Source: Alexandria via LeMat-Bulk
Functional: PBE
Structure: relaxed

Cell lengths 3.9248, 3.9248, 5.7489 Å; angles 90.00, 90.00, 90.00 degrees
With the nearest neighbours (Å) after each atom.
Element x y z (fractional)
N 0.0000 0.5000 0.0000  2 W 1.96
N 0.5000 0.0000 0.0000  2 W 1.96
Te 0.0000 0.0000 0.5000  4 Zn 2.78, 2 W 2.87
W 0.0000 0.0000 0.0000  4 N 1.96
Zn 0.5000 0.5000 0.5000  4 Te 2.78

- Total magnetization: 0.00 μB per cell
- Total energy: -6.479 eV/atom


Compound: KBaTa2
Source: Alexandria via LeMat-Bulk
Functional: PBE
Structure: relaxed

Cell lengths 6.9365, 6.9365, 6.9365 Å; angles 151.28, 138.98, 50.84 degrees
With the nearest neighbours (Å) after each atom.
Element x y z (fractional)
Ta 0.5019 0.5019 0.0000  4 Ta 2.98
Ta 0.9981 0.9981 0.0000  4 Ta 2.98
K 0.2500 0.7500 0.5000  4 Ba 2.98
Ba 0.7500 0.2500 0.5000  4 K 2.98

- Energy of formation: 1.427 eV per atom
- Total magnetization: 0.00 μB per cell


Compound: YZrNiAg
Source: Alexandria via LeMat-Bulk
Functional: PBE
Structure: relaxed

Cell lengths 4.8557, 4.8557, 4.8557 Å; angles 60.00, 60.00, 60.00 degrees
With the nearest neighbours (Å) after each atom.
Element x y z (fractional)
Ag 0.0000 0.0000 0.0000  4 Zr 2.97, 4 Y 2.97
Zr 0.2500 0.2500 0.2500  4 Ni 2.97, 4 Ag 2.97
Y 0.7500 0.7500 0.7500  4 Ni 2.97, 4 Ag 2.97
Ni 0.5000 0.5000 0.5000  4 Y 2.97, 4 Zr 2.97

- Energy of formation: -0.139 eV per atom
- Total magnetization: 0.00 μB per cell


Number 1: theoretical density 7.75 Mg/m³. Number 2: theoretical density 7.68 Mg/m³. Number 3: theoretical density 6.46 Mg/m³. Number 4: theoretical density 3.64 Mg/m³. Number 5: theoretical density 2.86 Mg/m³. Number 6: theoretical density 7.57 Mg/m³. Number 7: theoretical density 5.43 Mg/m³. Number 8: theoretical density 7.59 Mg/m³. Number 9: theoretical density 8.53 Mg/m³. Number 10: theoretical density 7.11 Mg/m³.